The following is a DFT calculation (PBE) of an optimized crystal structure of SbPdOF2.

Computed properties:
Calculated volume: 16.27 Å³ per atom
Raw formation energy: -4.73 eV per formula unit
E above lowest polymorph: 0 meV/atom
E_tot: -22.7 eV for the cell shown

a b c (Å): 4.424 4.424 4.158
angles (deg): 90.00 90.00 90.00
Element x y z (fractional)
Sb1 0.000 0.000 0.000
Pd1 0.500 0.500 0.500
O1 0.000 0.000 0.500
F1 0.000 0.500 0.000
F2 0.500 0.000 0.000